No. 1
{"formula": "NaAc2TmTe5", "functional": "GGA-PBE", "state": "optimized geometry", "space_group": "No. 36", "crystal_system": "orthorhombic", "energy_ev_per_atom": -4.673, "lattice": [[2.304, -9.568, 0.000], [2.304, 9.568, 0.000], [0.000, 0.000, 14.043]], "species": ["Na", "Na", "Ac", "Ac", "Ac", "Ac", "Tm", "Tm", "Te", "Te", "Te", "Te", "Te", "Te", "Te", "Te", "Te", "Te"], "fractional_positions": [[0.034, 0.966, 0.500], [0.966, 0.034, 0.000], [0.366, 0.634, 0.334], [0.397, 0.603, 0.718], [0.603, 0.397, 0.218], [0.634, 0.366, 0.834], [0.298, 0.702, 0.044], [0.702, 0.298, 0.544], [0.007, 0.993, 0.805], [0.138, 0.862, 0.032], [0.190, 0.810, 0.392], [0.222, 0.778, 0.693], [0.441, 0.559, 0.114], [0.559, 0.441, 0.614], [0.778, 0.222, 0.193], [0.810, 0.190, 0.892], [0.862, 0.138, 0.532], [0.993, 0.007, 0.305]]}

---

No. 2
{"formula": "Na2AcUTe4", "functional": "GGA-PBE", "state": "optimized geometry", "space_group": "No. 10", "crystal_system": "monoclinic", "energy_ev_per_atom": -4.881, "lattice": [[8.030, 0.000, 0.000], [0.000, 4.622, 0.000], [-2.685, 0.000, 7.570]], "species": ["Na", "Na", "Ac", "U", "Te", "Te", "Te", "Te"], "fractional_positions": [[0.000, 0.000, 0.000], [0.000, 0.500, 0.500], [0.500, 0.000, 0.500], [0.500, 0.500, 0.000], [0.253, 0.500, 0.237], [0.262, 0.000, 0.767], [0.738, 0.000, 0.233], [0.747, 0.500, 0.763]]}

---

No. 3
{"formula": "Na4Ac3UTe8", "functional": "GGA-PBE", "state": "optimized geometry", "space_group": "No. 166", "crystal_system": "trigonal", "energy_ev_per_atom": -4.599, "lattice": [[4.713, 2.721, 7.568], [-4.713, 2.721, 7.568], [0.000, -5.442, 7.568]], "species": ["Na", "Na", "Na", "Na", "Ac", "Ac", "Ac", "U", "Te", "Te", "Te", "Te", "Te", "Te", "Te", "Te"], "fractional_positions": [[0.000, 0.000, 0.000], [0.000, 0.500, 0.500], [0.500, 0.000, 0.500], [0.500, 0.500, 0.000], [0.000, 0.000, 0.500], [0.000, 0.500, 0.000], [0.500, 0.000, 0.000], [0.500, 0.500, 0.500], [0.251, 0.251, 0.251], [0.258, 0.258, 0.740], [0.258, 0.740, 0.258], [0.260, 0.742, 0.742], [0.740, 0.258, 0.258], [0.742, 0.260, 0.742], [0.742, 0.742, 0.260], [0.749, 0.749, 0.749]]}

---

No. 4
{"formula": "NaAc3Y3Te8", "functional": "GGA-PBE", "state": "optimized geometry", "space_group": "No. 166", "crystal_system": "trigonal", "energy_ev_per_atom": -5.286, "lattice": [[4.511, 2.605, 7.484], [-4.511, 2.605, 7.484], [0.000, -5.209, 7.484]], "species": ["Na", "Ac", "Ac", "Ac", "Y", "Y", "Y", "Te", "Te", "Te", "Te", "Te", "Te", "Te", "Te"], "fractional_positions": [[0.000, 0.000, 0.000], [0.000, 0.000, 0.500], [0.000, 0.500, 0.000], [0.500, 0.000, 0.000], [0.000, 0.500, 0.500], [0.500, 0.000, 0.500], [0.500, 0.500, 0.000], [0.253, 0.253, 0.731], [0.253, 0.731, 0.253], [0.258, 0.258, 0.258], [0.269, 0.747, 0.747], [0.731, 0.253, 0.253], [0.742, 0.742, 0.742], [0.747, 0.269, 0.747], [0.747, 0.747, 0.269]]}

---

No. 5
{"formula": "NaAcY2Te4", "functional": "GGA-PBE", "state": "optimized geometry", "space_group": "No. 10", "crystal_system": "monoclinic", "energy_ev_per_atom": -5.235, "lattice": [[7.748, 0.000, 0.000], [0.000, 4.453, 0.000], [-2.546, 0.000, 7.552]], "species": ["Na", "Ac", "Y", "Y", "Te", "Te", "Te", "Te"], "fractional_positions": [[0.000, 0.000, 0.000], [0.500, 0.500, 0.000], [0.000, 0.500, 0.500], [0.500, 0.000, 0.500], [0.236, 0.000, 0.731], [0.250, 0.500, 0.266], [0.750, 0.500, 0.734], [0.764, 0.000, 0.269]]}

---

No. 6
{"formula": "Na2AcYTe4", "functional": "GGA-PBE", "state": "optimized geometry", "space_group": "No. 10", "crystal_system": "monoclinic", "energy_ev_per_atom": -4.570, "lattice": [[7.993, 0.000, 0.000], [0.000, 4.606, 0.000], [-2.662, 0.000, 7.578]], "species": ["Na", "Na", "Ac", "Y", "Te", "Te", "Te", "Te"], "fractional_positions": [[0.000, 0.000, 0.000], [0.500, 0.500, 0.000], [0.000, 0.500, 0.500], [0.500, 0.000, 0.500], [0.265, 0.000, 0.744], [0.270, 0.500, 0.265], [0.730, 0.500, 0.735], [0.735, 0.000, 0.256]]}

---

No. 7
{"formula": "NaAcYTe3", "functional": "GGA-PBE", "state": "optimized geometry", "space_group": "No. 11", "crystal_system": "monoclinic", "energy_ev_per_atom": -4.806, "lattice": [[8.957, 0.000, 0.000], [0.000, 4.544, 0.000], [-2.896, 0.000, 9.702]], "species": ["Na", "Na", "Ac", "Ac", "Y", "Y", "Te", "Te", "Te", "Te", "Te", "Te"], "fractional_positions": [[0.096, 0.250, 0.089], [0.904, 0.750, 0.911], [0.207, 0.250, 0.738], [0.793, 0.750, 0.262], [0.328, 0.750, 0.347], [0.672, 0.250, 0.653], [0.094, 0.250, 0.381], [0.268, 0.750, 0.007], [0.444, 0.750, 0.665], [0.556, 0.250, 0.335], [0.732, 0.250, 0.993], [0.906, 0.750, 0.619]]}

---

No. 8
{"formula": "Na3Ac2YTe6", "functional": "GGA-PBE", "state": "optimized geometry", "space_group": "No. 12", "crystal_system": "monoclinic", "energy_ev_per_atom": -4.487, "lattice": [[10.126, -2.331, 0.000], [10.126, 2.331, 0.000], [-2.085, 0.000, 9.080]], "species": ["Na", "Na", "Na", "Ac", "Ac", "Y", "Te", "Te", "Te", "Te", "Te", "Te"], "fractional_positions": [[0.000, 0.000, 0.000], [0.333, 0.333, 0.667], [0.667, 0.667, 0.333], [0.336, 0.336, 0.173], [0.664, 0.664, 0.827], [0.000, 0.000, 0.500], [0.159, 0.159, 0.573], [0.166, 0.166, 0.084], [0.498, 0.498, 0.728], [0.502, 0.502, 0.272], [0.834, 0.834, 0.916], [0.841, 0.841, 0.427]]}

---

No. 9
{"formula": "Na4AcY3Te8", "functional": "GGA-PBE", "state": "optimized geometry", "space_group": "No. 166", "crystal_system": "trigonal", "energy_ev_per_atom": -4.705, "lattice": [[4.522, 2.611, 7.574], [-4.522, 2.611, 7.574], [0.000, -5.222, 7.574]], "species": ["Na", "Na", "Na", "Na", "Ac", "Y", "Y", "Y", "Te", "Te", "Te", "Te", "Te", "Te", "Te", "Te"], "fractional_positions": [[0.000, 0.000, 0.000], [0.000, 0.500, 0.500], [0.500, 0.000, 0.500], [0.500, 0.500, 0.000], [0.500, 0.500, 0.500], [0.000, 0.000, 0.500], [0.000, 0.500, 0.000], [0.500, 0.000, 0.000], [0.230, 0.754, 0.754], [0.243, 0.243, 0.243], [0.246, 0.246, 0.770], [0.246, 0.770, 0.246], [0.754, 0.230, 0.754], [0.754, 0.754, 0.230], [0.757, 0.757, 0.757], [0.770, 0.246, 0.246]]}

---

No. 10
{"formula": "NaAc2YTe4", "functional": "GGA-PBE", "state": "optimized geometry", "space_group": "No. 10", "crystal_system": "monoclinic", "energy_ev_per_atom": -4.965, "lattice": [[7.891, 0.000, 0.000], [0.000, 4.595, 0.000], [-2.669, 0.000, 7.581]], "species": ["Na", "Ac", "Ac", "Y", "Te", "Te", "Te", "Te"], "fractional_positions": [[0.000, 0.000, 0.000], [0.500, 0.000, 0.500], [0.500, 0.500, 0.000], [0.000, 0.500, 0.500], [0.227, 0.000, 0.740], [0.231, 0.500, 0.248], [0.769, 0.500, 0.752], [0.773, 0.000, 0.260]]}

---

No. 11
{"formula": "NaAcTh", "functional": "GGA-PBE", "state": "optimized geometry", "space_group": "No. 129", "e_form_ev_per_atom": 0.090, "crystal_system": "tetragonal", "lattice": [[3.719, 0.000, 0.000], [0.000, 3.719, 0.000], [0.000, 0.000, 16.550]], "species": ["Na", "Na", "Ac", "Ac", "Th", "Th"], "fractional_positions": [[0.250, 0.250, 0.083], [0.750, 0.750, 0.917], [0.250, 0.250, 0.732], [0.750, 0.750, 0.268], [0.250, 0.250, 0.429], [0.750, 0.750, 0.571]]}

---

No. 12
{"formula": "NaAc2Th", "functional": "GGA-PBE", "state": "optimized geometry", "space_group": "No. 166", "e_form_ev_per_atom": 0.169, "crystal_system": "trigonal", "lattice": [[1.893, 1.093, 13.440], [-1.893, 1.093, 13.440], [0.000, -2.185, 13.440]], "species": ["Na", "Ac", "Ac", "Th"], "fractional_positions": [[0.000, 0.000, 0.000], [0.093, 0.093, 0.093], [0.907, 0.907, 0.907], [0.500, 0.500, 0.500]]}